Pr2Ge3Pd: optimized geometry, PBE.

abc: 4.201 4.411 7.375
angles: 90.00 90.00 90.00
Fractional positions:
Pr: 0.000 0.500 0.996
Pr: 0.000 0.000 0.504
Ge: 0.500 0.000 0.176
Ge: 0.500 0.500 0.661
Ge: 0.500 0.000 0.836
Pd: 0.500 0.500 0.327

Results
Energy above the lowest structure with this stoichiometry = 30.0 meV per atom
Energy relative to the elements = -475.7 kJ/mol of formula units
SG = Pmm2
Density = 7.37 Mg/m³